LaYOs4 | PBE | optimized geometry

Unit cell a=5.4246 b=5.4246 c=5.4246 alpha=60.00 beta=60.00 gamma=60.00
Sites, in units of the cell vectors:
La: 0.0000 0.0000 0.0000
Os: 0.1260 0.6247 0.6247
Os: 0.6247 0.6247 0.6247
Os: 0.6247 0.1260 0.6247
Os: 0.6247 0.6247 0.1260
Y: 0.2500 0.2500 0.2500

density of states at the Fermi level = 7.592 states/eV per cell
total DFT energy (no corrections) = -57.03 eV for the cell shown
formation enthalpy at 0 K = -11.6 kJ/mol of atoms
symmetry = F-43m (216)

La4YOs | PBE | optimized geometry

Unit cell a=6.2954 b=6.2954 c=6.2954 alpha=60.00 beta=60.00 gamma=60.00
Sites, in units of the cell vectors:
La: 0.8665 0.3778 0.3778
La: 0.3778 0.3778 0.8665
La: 0.3778 0.8665 0.3778
La: 0.3778 0.3778 0.3778
Y: 0.0000 0.0000 0.0000
Os: 0.7500 0.7500 0.7500

density of states at the Fermi level = 9.737 states/eV per cell
total DFT energy (no corrections) = -32.76 eV for the cell shown
formation enthalpy at 0 K = 74.6 kJ/mol of atoms
symmetry = F-43m (216)

LaY3Os | PBE | optimized geometry

Unit cell a=5.3378 b=5.3378 c=5.3378 alpha=90.00 beta=90.00 gamma=90.00
Sites, in units of the cell vectors:
Y: 0.0000 0.5000 0.0000
Y: 0.0000 0.0000 0.5000
Y: 0.5000 0.0000 0.0000
Os: 0.5000 0.5000 0.5000
La: 0.0000 0.0000 0.0000

density of states at the Fermi level = 7.207 states/eV per cell
total DFT energy (no corrections) = -27.12 eV for the cell shown
formation enthalpy at 0 K = 162.7 kJ/mol of atoms
symmetry = Pm-3m (221)

| no. | V (Å³/f.u.) |
| --- | --- |
| 1 | 112.87 |
| 2 | 176.43 |
| 3 | 152.09 |